# ZrTl2AsO6

A geometry-optimized ZrTl2AsO6 structure (GGA-PBE, Alexandria).

Size of the total moment: 0.000 Bohr magnetons per cell
Space group: P-3m1
Formation energy from raw total energies: -1397 meV per atom

a = 6.1981 Å, b = 6.1981 Å, c = 5.4678 Å
α = 90.00°, β = 90.00°, γ = 120.00°
Atoms (fractional coordinates):
Zr  0.0000  0.0000  0.0000
Tl  0.3333  0.6667  0.4524
Tl  0.6667  0.3333  0.5476
As  0.0000  0.0000  0.5000
O  0.1378  0.2755  0.7142
O  0.1378  0.8622  0.7142
O  0.2755  0.1378  0.2858
O  0.7245  0.8622  0.7142
O  0.8622  0.1378  0.2858
O  0.8622  0.7245  0.2858


# ZrTlAs2O8

A geometry-optimized ZrTlAs2O8 structure (GGA-PBE, Alexandria).

Size of the total moment: 0.000 Bohr magnetons per cell
Space group: P-3m1
Formation energy from raw total energies: -1565 meV per atom

a = 5.5827 Å, b = 5.5827 Å, c = 7.0759 Å
α = 90.00°, β = 90.00°, γ = 120.00°
Atoms (fractional coordinates):
Zr  0.0000  0.0000  0.0000
Tl  0.0000  0.0000  0.5000
As  0.3333  0.6667  0.7229
As  0.6667  0.3333  0.2771
O  0.1676  0.3351  0.8132
O  0.1676  0.8324  0.8132
O  0.3333  0.6667  0.4852
O  0.3351  0.1676  0.1868
O  0.6649  0.8324  0.8132
O  0.6667  0.3333  0.5148
O  0.8324  0.1676  0.1868
O  0.8324  0.6649  0.1868


# TmAs2O6

A geometry-optimized TmAs2O6 structure (GGA-PBE, Alexandria).

Size of the total moment: 0.835 Bohr magnetons per cell
Space group: R3
Formation energy from raw total energies: -1598 meV per atom

a = 6.7601 Å, b = 6.7601 Å, c = 6.7601 Å
α = 50.02°, β = 50.02°, γ = 50.02°
Atoms (fractional coordinates):
Tm  0.0000  0.0000  0.0000
As  0.5952  0.5952  0.5952
As  0.7384  0.7384  0.7384
O  0.2502  0.6866  0.8105
O  0.4194  0.9875  0.8406
O  0.6866  0.8105  0.2502
O  0.8105  0.2502  0.6866
O  0.8406  0.4194  0.9875
O  0.9875  0.8406  0.4194


# TmAsO4

A geometry-optimized TmAsO4 structure (GGA-PBE, Alexandria).

Size of the total moment: 0.000 Bohr magnetons per cell
Space group: P2_1/c
Formation energy from raw total energies: -2317 meV per atom

a = 6.6476 Å, b = 6.9700 Å, c = 8.0637 Å
α = 90.00°, β = 127.00°, γ = 90.00°
Atoms (fractional coordinates):
Tm  0.1991  0.1406  0.4228
Tm  0.1991  0.3594  0.9228
Tm  0.8009  0.6406  0.0772
Tm  0.8009  0.8594  0.5772
As  0.3107  0.6579  0.6106
As  0.3107  0.8421  0.1106
As  0.6893  0.1579  0.8894
As  0.6893  0.3421  0.3894
O  0.1160  0.6457  0.0189
O  0.1160  0.8543  0.5189
O  0.1535  0.0079  0.9138
O  0.1535  0.4921  0.4138
O  0.3621  0.5994  0.8413
O  0.3621  0.9006  0.3413
O  0.3789  0.2114  0.7762
O  0.3789  0.2886  0.2762
O  0.6211  0.7114  0.7238
O  0.6211  0.7886  0.2238
O  0.6379  0.0994  0.6587
O  0.6379  0.4006  0.1587
O  0.8465  0.5079  0.5862
O  0.8465  0.9921  0.0862
O  0.8840  0.1457  0.4811
O  0.8840  0.3543  0.9811


Q: size of the total moment of number 3 (TmAs2O6)?
A: 0.835 Bohr magnetons per cell